VASP calculation (PBE) on crystalline Zn3InSe at its relaxed geometry.

Results
raw formation energy	0.497	eV/atom
energy above the lowest structure with this stoichiometry	0.124	eV per atom
magnetization	0.0	μB/f.u.
D(E_F)	5.51	states/eV/f.u.

a b c (Å): 5.101 5.101 5.101
angles (deg): 90.00 90.00 90.00
Fractional coordinates of all 5 atoms:
1 Zn 0.000 0.500 0.000
2 Zn 0.000 0.000 0.500
3 Zn 0.500 0.000 0.000
4 Se 0.500 0.500 0.500
5 In 0.000 0.000 0.000